## GaSiAs3 (PBE)

Data for a geometry-optimized GaSiAs3 structure.

Computed properties:
- Excess energy over the best structure of this formula in the dataset: 0.0000 eV/atom
- E_form (uncorrected): 562 meV/atom
- V: 113 Å³/cell
- Total magnetization: 0.00 μB/f.u.
- Fermi-level density of states: 3.16 states/eV per cell

a b c (Å): 4.8284 4.8284 4.8284
angles (deg): 90.00 90.00 90.00
Space group Pm-3m (No. 221)
One atom of each set of equivalent atoms:
1 Ga 0.0000 0.0000 0.0000 [1 per cell]
2 Si 0.5000 0.5000 0.5000 [1 per cell]
3 As 0.0000 0.5000 0.5000 [3 per cell]